(1)
The following is a GGA-PBE calculation of a geometry-optimized TiIrI2O structure, from the Alexandria database.

Cell and atoms, written as POSCAR:
```
TiIrI2O
1.0
-4.915 -1.484 -2.354
-1.678 -2.232 4.910
-1.466 3.282 0.991
I Ir O Ti
2 1 1 1
Direct
0.000 0.500 0.000
0.500 0.000 0.000
0.000 0.000 0.000
0.000 0.000 0.500
0.500 0.500 0.500
```

* excess energy over the best structure of this formula in the dataset: 239.3 meV/atom
* formation energy from raw total energies: 0.1228 eV per atom

=====

(2)
The following is a GGA-PBE calculation of a geometry-optimized TcSbTeI2 structure, from the Alexandria database.

Cell and atoms, written as POSCAR:
```
TcSbTeI2
1.0
-1.169 -4.302 3.041
4.930 -1.992 -0.924
1.800 2.496 4.222
I Sb Te Tc
2 1 1 1
Direct
0.000 0.500 0.000
0.500 0.000 0.000
0.500 0.500 0.500
0.000 0.000 0.500
0.000 0.000 0.000
```

* excess energy over the best structure of this formula in the dataset: 31.1 meV/atom
* formation energy from raw total energies: 0.5667 eV per atom

=====

(3)
The following is a GGA-PBE calculation of a geometry-optimized ReRu2W2 structure, from the Alexandria database.

Cell and atoms, written as POSCAR:
```
ReRu2W2
1.0
3.911 0.000 0.000
0.000 3.911 0.000
1.955 1.955 5.544
Re W Ru
1 2 2
Direct
0.000 0.000 0.000
0.750 0.250 0.500
0.250 0.750 0.500
0.395 0.395 0.209
0.605 0.605 0.791
```

* calculated formation energy: 0.894 eV/atom
* excess energy over the best structure of this formula in the dataset: 584.2 meV/atom

=====

(4)
The following is a GGA-PBE calculation of a geometry-optimized Cr2BW structure, from the Alexandria database.

Cell and atoms, written as POSCAR:
```
Cr2BW
1.0
6.660 0.000 0.000
0.000 6.660 0.000
3.330 3.330 2.193
Cr B W
4 2 2
Direct
0.532 0.125 0.250
0.218 0.625 0.250
0.375 0.468 0.750
0.875 0.782 0.750
0.500 0.500 0.000
0.250 0.750 0.500
0.000 0.000 0.000
0.750 0.250 0.500
```

* calculated formation energy: 0.329 eV/atom

=====

(5)
The following is a GGA-PBE calculation of a geometry-optimized SrSc2Te structure, from the Alexandria database.

Cell and atoms, written as POSCAR:
```
SrSc2Te
1.0
-0.812 2.092 4.494
-3.832 -0.024 -0.681
-1.877 -5.592 2.263
Sc Sr Te
2 1 1
Direct
0.000 0.897 0.959
0.000 0.603 0.541
0.500 0.250 0.250
0.500 0.750 0.750
```

* formation energy from raw total energies: -0.2872 eV per atom

=====

(6)
The following is a GGA-PBE calculation of a geometry-optimized SrSb2TeOs structure, from the Alexandria database.

Cell and atoms, written as POSCAR:
```
SrSb2TeOs
1.0
5.984 0.000 0.000
0.000 5.984 0.000
0.000 0.000 5.868
Sb Te Os Sr
2 1 1 1
Direct
0.000 0.500 0.000
0.500 0.000 0.000
0.000 0.000 0.500
0.500 0.500 0.500
0.000 0.000 0.000
```

* excess energy over the best structure of this formula in the dataset: 1886.5 meV/atom
* formation energy from raw total energies: 1.8794 eV per atom

=====

(7)
The following is a GGA-PBE calculation of a geometry-optimized Li2ZrIn structure, from the Alexandria database.

Cell and atoms, written as POSCAR:
```
Li2ZrIn
1.0
10.422 -0.042 -0.024
9.978 3.008 -0.024
9.978 1.451 2.635
In Li Zr
1 2 1
Direct
0.750 0.750 0.750
0.005 0.005 0.005
0.495 0.495 0.495
0.250 0.250 0.250
```

* calculated formation energy: 0.086 eV/atom

=====

(8)
The following is a GGA-PBE calculation of a geometry-optimized ZrTl2I5Br structure, from the Alexandria database.

Cell and atoms, written as POSCAR:
```
ZrTl2I5Br
1.0
8.359 -0.184 -0.266
-4.130 7.269 0.266
-4.130 -2.340 6.887
Zr Tl I Br
1 2 5 1
Direct
0.000 0.013 0.013
0.500 0.182 0.682
0.500 0.682 0.182
0.497 0.267 0.267
0.503 0.770 0.770
0.000 0.770 0.267
0.000 0.267 0.770
0.000 0.253 0.253
0.000 0.797 0.797
```

* formation energy from raw total energies: -0.8481 eV per atom